Here is a relaxed structure of Y2Mn2O7 from Alexandria. Energies are from GGA-PBEsol.

Cell and atoms, written as POSCAR:
```
Y2Mn2O7
1.0
0.000 4.927 4.927
4.927 0.000 4.927
4.927 4.927 0.000
Y Mn O
4 4 14
Direct
0.000 0.000 0.000 Y
0.000 0.000 0.500 Y
0.000 0.500 0.000 Y
0.500 0.000 0.000 Y
0.000 0.500 0.500 Mn
0.500 0.000 0.500 Mn
0.500 0.500 0.000 Mn
0.500 0.500 0.500 Mn
0.125 0.125 0.125 O
0.172 0.172 0.578 O
0.172 0.578 0.172 O
0.172 0.578 0.578 O
0.422 0.422 0.828 O
0.422 0.828 0.422 O
0.422 0.828 0.828 O
0.578 0.172 0.172 O
0.578 0.172 0.578 O
0.578 0.578 0.172 O
0.828 0.422 0.422 O
0.828 0.422 0.828 O
0.828 0.828 0.422 O
0.875 0.875 0.875 O
```

Results
**Total DFT energy (no corrections)**: -8.99 eV/atom
**E_form (uncorrected)**: -2637 meV/atom
**Volume**: 10.87 Å³ per atom
**SG**: Fd-3m (227)


Here is a relaxed structure of MnZn4O5 from Alexandria. Energies are from GGA-PBEsol.

Cell and atoms, written as POSCAR:
```
MnZn4O5
1.0
3.258 0.000 0.000
-1.629 2.822 0.000
0.000 0.000 26.326
Mn Zn O
2 8 10
Direct
0.000 0.000 0.000 Mn
0.000 0.000 0.205 Mn
0.000 0.000 0.406 Zn
0.000 0.000 0.602 Zn
0.000 0.000 0.800 Zn
0.333 0.667 0.103 Zn
0.333 0.667 0.307 Zn
0.333 0.667 0.504 Zn
0.333 0.667 0.701 Zn
0.333 0.667 0.899 Zn
0.000 0.000 0.128 O
0.000 0.000 0.330 O
0.000 0.000 0.527 O
0.000 0.000 0.725 O
0.000 0.000 0.924 O
0.333 0.667 0.028 O
0.333 0.667 0.231 O
0.333 0.667 0.428 O
0.333 0.667 0.626 O
0.333 0.667 0.824 O
```

Results
**Total DFT energy (no corrections)**: -5.60 eV/atom
**D(E_F)**: 0.08 states/eV/atom
**E_form (uncorrected)**: -1370 meV/atom
**Volume**: 12.10 Å³ per atom
**SG**: P3m1 (156)
**Relative energy among the computed polymorphs**: 0.006 eV/atom


Here is a relaxed structure of Mn3ZnO from Alexandria. Energies are from GGA-PBEsol.

Cell and atoms, written as POSCAR:
```
Mn3ZnO
1.0
3.746 0.000 0.000
0.000 3.746 0.000
0.000 0.000 3.746
Mn Zn O
3 1 1
Direct
0.000 0.000 0.500 Mn
0.000 0.500 0.000 Mn
0.500 0.000 0.000 Mn
0.500 0.500 0.500 Zn
0.000 0.000 0.000 O
```

Results
**Total DFT energy (no corrections)**: -7.49 eV/atom
**D(E_F)**: 0.92 states/eV/atom
**E_form (uncorrected)**: -263 meV/atom
**Volume**: 10.51 Å³ per atom
**SG**: Pm-3m (221)


Here is a relaxed structure of MnZn4O5 from Alexandria. Energies are from GGA-PBEsol.

Cell and atoms, written as POSCAR:
```
MnZn4O5
1.0
5.964 -1.627 0.000
5.964 1.627 0.000
-0.652 0.000 12.437
Mn Zn O
2 8 10
Direct
0.000 0.000 0.000 Mn
0.200 0.200 0.598 Mn
0.133 0.133 0.234 Zn
0.331 0.331 0.832 Zn
0.399 0.399 0.200 Zn
0.530 0.530 0.431 Zn
0.599 0.599 0.800 Zn
0.734 0.734 0.034 Zn
0.800 0.800 0.398 Zn
0.934 0.934 0.633 Zn
0.083 0.083 0.710 O
0.153 0.153 0.077 O
0.284 0.284 0.309 O
0.352 0.352 0.676 O
0.482 0.482 0.906 O
0.550 0.550 0.274 O
0.682 0.682 0.504 O
0.750 0.750 0.876 O
0.883 0.883 0.111 O
0.950 0.950 0.476 O
```

Results
**Total DFT energy (no corrections)**: -5.61 eV/atom
**D(E_F)**: 0.09 states/eV/atom
**E_form (uncorrected)**: -1376 meV/atom
**Volume**: 12.07 Å³ per atom
**SG**: Cm (8)
**Relative energy among the computed polymorphs**: 0.000 eV/atom


Here is a relaxed structure of Mn3Zn2O8 from Alexandria. Energies are from GGA-PBEsol.

Cell and atoms, written as POSCAR:
```
Mn3Zn2O8
1.0
4.849 -2.832 0.000
4.849 2.832 0.000
-1.008 0.000 4.791
Mn Zn O
3 2 8
Direct
0.000 0.000 0.000 Mn
0.255 0.745 0.500 Mn
0.745 0.255 0.500 Mn
0.292 0.292 0.900 Zn
0.708 0.708 0.100 Zn
0.101 0.101 0.370 O
0.112 0.658 0.134 O
0.342 0.888 0.866 O
0.394 0.394 0.598 O
0.606 0.606 0.402 O
0.658 0.112 0.134 O
0.888 0.342 0.866 O
0.899 0.899 0.630 O
```

Results
**Total DFT energy (no corrections)**: -7.33 eV/atom
**E_form (uncorrected)**: -1603 meV/atom
**Volume**: 10.12 Å³ per atom
**SG**: C2/m (12)


Here is a relaxed structure of Mn11ZnO16 from Alexandria. Energies are from GGA-PBEsol.

Cell and atoms, written as POSCAR:
```
Mn11ZnO16
1.0
4.064 -4.657 0.000
4.064 4.657 0.000
0.000 0.000 8.129
Mn Zn O
11 1 16
Direct
0.000 0.000 0.000 Mn
0.000 0.500 0.750 Mn
0.001 0.251 0.376 Mn
0.251 0.001 0.624 Mn
0.251 0.500 0.127 Mn
0.500 0.000 0.250 Mn
0.500 0.251 0.873 Mn
0.500 0.749 0.873 Mn
0.749 0.500 0.127 Mn
0.749 0.999 0.624 Mn
0.999 0.749 0.376 Mn
0.500 0.500 0.500 Zn
0.008 0.269 0.139 O
0.008 0.769 0.613 O
0.231 0.992 0.387 O
0.234 0.493 0.364 O
0.268 0.507 0.889 O
0.269 0.008 0.861 O
0.493 0.234 0.636 O
0.493 0.732 0.111 O
0.507 0.268 0.111 O
0.507 0.766 0.636 O
0.731 0.992 0.861 O
0.732 0.493 0.889 O
0.766 0.507 0.364 O
0.769 0.008 0.387 O
0.992 0.231 0.613 O
0.992 0.731 0.139 O
```

Results
**Total DFT energy (no corrections)**: -8.38 eV/atom
**D(E_F)**: 0.22 states/eV/atom
**E_form (uncorrected)**: -1487 meV/atom
**Volume**: 10.99 Å³ per atom
**SG**: C222 (21)